CrCuF2 | PBE with a Hubbard U | optimized geometry

## Properties
**Calculated volume**: 14.0 Å³ per atom
**Density**: 4.54 g cm⁻³
**Total DFT energy (no corrections)**: -19.6 eV/f.u.

a b c (Å): 5.7636 5.7636 5.2938
angles (deg): 57.02 57.02 90.00
With the nearest neighbours (Å) after each atom.
Positions (direct):
Cr (0.2500, 0.7500, 0.5000)  4 F 2.17
Cr (0.5000, 0.5000, 0.0000)  4 F 2.17
F (0.3750, 0.3841, 0.7500)  2 Cr 2.17, 2 Cu 2.24
F (0.6159, 0.1250, 0.2500)  2 Cr 2.17, 2 Cu 2.24
F (0.8750, 0.8659, 0.7500)  2 Cr 2.17, 2 Cu 2.24
F (0.1341, 0.6250, 0.2500)  2 Cr 2.17, 2 Cu 2.24
Cu (0.0000, 0.0000, 0.0000)  4 F 2.24
Cu (0.7500, 0.2500, 0.5000)  4 F 2.24